Computed, not measured: crystalline InFe2Ni at its relaxed geometry at the PBE level of DFT.

Output
* E: -6.12 eV/atom
* density of states at the Fermi level: 4.0 states/eV per cell
* calculated volume: 55.8 Å³/cell

```
InFe2Ni
1.0
4.714 -0.024 -0.013
-2.854 5.119 0.022
0.036 1.415 2.324
Fe In Ni
2 1 1
direct
0.000 0.000 0.000
0.000 0.500 0.500
0.500 0.500 0.000
0.500 0.000 0.500
```